[1]
A relaxed BaCoTe2H crystal. Source: the Alexandria database, functional PBE.

a = 5.460 Å, b = 4.084 Å, c = 5.460 Å
α = 90.00°, β = 90.00°, γ = 90.00°
Last column: magnetic moment on the atom in μB.
Positions (direct):
H 0.000 0.500 0.000  -0.01
Te 0.000 0.000 0.500  0.04
Te 0.500 0.000 0.000  0.07
Co 0.000 0.000 0.000  1.51
Ba 0.500 0.500 0.500  0.01

Computed properties:
For the density of states at the Fermi level, the calculation gives 6.459 states/eV per cell. Its magnetic moment is 1.75 μB per formula unit. The calculation puts the electronic total energy at -0.147 Ha/atom.

[2]
A relaxed MgCo3Si crystal. Source: the Alexandria database, functional PBE.

a = 4.381 Å, b = 6.234 Å, c = 6.234 Å
α = 131.42°, β = 90.00°, γ = 90.00°
Last column: magnetic moment on the atom in μB.
Positions (direct):
Mg 0.750 0.414 0.586  -0.01
Mg 0.250 0.586 0.414  -0.01
Co 0.750 0.400 0.066  0.69
Co 0.750 0.934 0.600  0.69
Co 0.250 0.066 0.400  0.69
Co 0.250 0.600 0.934  0.69
Co 0.000 0.000 0.000  1.14
Co 0.500 0.000 0.000  1.14
Si 0.750 0.821 0.179  -0.03
Si 0.250 0.179 0.821  -0.03

Computed properties:
For the density of states at the Fermi level, the calculation gives 13.821 states/eV per cell. The calculation puts the offset from the most stable computed form at 0.000 eV per atom. Its magnetic moment is 2.41 μB per formula unit.

[3]
A relaxed TbGa2NiPt4 crystal. Source: the Alexandria database, functional PBE.

a = 4.318 Å, b = 4.318 Å, c = 8.682 Å
α = 75.60°, β = 75.60°, γ = 60.00°
Positions (direct):
Tb 0.000 0.000 0.000
Ga 0.759 0.759 0.722
Ga 0.241 0.241 0.278
Ni 0.500 0.500 0.500
Pt 0.400 0.400 0.801
Pt 0.869 0.869 0.394
Pt 0.131 0.131 0.606
Pt 0.600 0.600 0.199

Computed properties:
As for the energy of formation from the pure elements: -688 meV/atom. For the density of states at the Fermi level, the calculation gives 5.022 states/eV per cell. Its magnetic moment is 0.00 μB per formula unit.

[4]
A relaxed Re2SbPb crystal. Source: the Alexandria database, functional PBE.

a = 4.086 Å, b = 3.266 Å, c = 7.143 Å
α = 90.03°, β = 90.00°, γ = 90.00°
Positions (direct):
Pb 0.500 0.874 0.805
Re 0.000 0.875 0.118
Re 0.500 0.375 0.149
Sb 0.000 0.375 0.429

Computed properties:
For the density of states at the Fermi level, the calculation gives 1.731 states/eV per cell. The calculation puts the offset from the most stable computed form at 0.226 eV per atom. Its magnetic moment is 0.00 μB per formula unit.

[5]
A relaxed Ac7PmSm12 crystal. Source: the Alexandria database, functional PBE.

a = 10.638 Å, b = 10.638 Å, c = 10.638 Å
α = 109.47°, β = 109.47°, γ = 109.47°
Positions (direct):
Ac 0.500 0.500 0.000
Ac 0.000 0.500 0.500
Ac 0.500 0.000 0.500
Ac 0.500 0.500 0.500
Ac 0.000 0.000 0.500
Ac 0.500 0.000 0.000
Ac 0.000 0.500 0.000
Pm 0.000 0.000 0.000
Sm 0.591 0.796 0.795
Sm 0.000 0.796 0.205
Sm 0.409 0.204 0.205
Sm 0.000 0.204 0.795
Sm 0.795 0.000 0.204
Sm 0.795 0.591 0.796
Sm 0.205 0.000 0.796
Sm 0.205 0.409 0.204
Sm 0.796 0.795 0.591
Sm 0.204 0.205 0.409
Sm 0.796 0.205 0.000
Sm 0.204 0.795 0.000

Computed properties:
As for the energy of formation from the pure elements: 708 meV/atom. For the density of states at the Fermi level, the calculation gives 19.414 states/eV per cell. Its magnetic moment is 0.00 μB per formula unit.

[6]
A relaxed TbPrDyY crystal. Source: the Alexandria database, functional PBE.

a = 5.103 Å, b = 5.106 Å, c = 6.214 Å
α = 114.26°, β = 114.24°, γ = 90.00°
Positions (direct):
Tb 0.696 0.196 0.391
Pr 0.946 0.946 0.891
Dy 0.196 0.696 0.391
Y 0.446 0.446 0.891

Computed properties:
As for the energy of formation from the pure elements: 21 meV/atom. For the density of states at the Fermi level, the calculation gives 5.770 states/eV per cell. The calculation puts the offset from the most stable computed form at 0.000 eV per atom. Its magnetic moment is 0.00 μB per formula unit.